Computed, not measured: a relaxed Tl2CuB crystal at the PBE-GGA level of DFT.

Lattice parameters (Å, degrees): 4.857 4.857 4.857 60.00 60.00 60.00
Fractional positions:
Tl1 0.750 0.750 0.750
Tl2 0.000 0.000 0.000
Cu1 0.250 0.250 0.250
B1 0.500 0.500 0.500

Values from the calculation:
ρ	9.90	Mg/m³
calculated total energy	-2.57	eV/atom

Computed, not measured: a relaxed TlCuB2 crystal at the PBE-GGA level of DFT.

Lattice parameters (Å, degrees): 4.280 4.280 4.280 60.00 60.00 60.00
Fractional positions:
Tl1 0.000 0.000 0.000
Cu1 0.250 0.250 0.250
B1 0.500 0.500 0.500
B2 0.750 0.750 0.750

Values from the calculation:
ρ	8.67	Mg/m³
calculated total energy	-3.09	eV/atom

Computed, not measured: a relaxed TlCuB crystal at the PBE-GGA level of DFT.

Lattice parameters (Å, degrees): 4.177 4.177 4.177 60.00 60.00 60.00
Fractional positions:
Tl1 0.000 0.000 0.000
Cu1 0.750 0.750 0.750
B1 0.250 0.250 0.250

Values from the calculation:
ρ	8.98	Mg/m³
calculated total energy	-2.93	eV/atom